(1)
Here is a relaxed PrAlIr2 crystal from Alexandria via LeMat-Bulk. Energies are from PBE-GGA.

Structure (POSCAR):
```
PrAlIr2
1.0
4.380 0.000 0.000
-2.190 3.793 0.000
0.000 0.000 15.140
Pr Al Ir
3 3 6
Direct
0.000 0.000 0.000
0.333 0.667 0.667
0.667 0.333 0.333
0.000 0.000 0.500
0.333 0.667 0.167
0.667 0.333 0.833
0.000 0.000 0.198
0.000 0.000 0.802
0.333 0.667 0.469
0.333 0.667 0.864
0.667 0.333 0.136
0.667 0.333 0.531
```

Calculated values
Uncorrected energy (eV/atom): -7.128
Calculated density (g/cm3): 10.939
E_form (eV/atom): -0.567
Density of states at the Fermi level (states/eV/cell): 11.56

=====

(2)
Here is a relaxed PrAl3Ir crystal from Alexandria via LeMat-Bulk. Energies are from PBE-GGA.

Structure (POSCAR):
```
PrAl3Ir
1.0
8.485 0.000 0.000
0.000 4.248 0.000
0.000 0.000 11.079
Pr Al Ir
4 12 4
Direct
0.192 0.250 0.018
0.308 0.750 0.518
0.692 0.250 0.482
0.808 0.750 0.982
0.051 0.250 0.582
0.116 0.750 0.785
0.146 0.750 0.225
0.354 0.250 0.725
0.384 0.250 0.285
0.449 0.750 0.082
0.551 0.250 0.918
0.616 0.750 0.715
0.646 0.750 0.275
0.854 0.250 0.775
0.884 0.250 0.215
0.949 0.750 0.418
0.106 0.250 0.353
0.394 0.750 0.853
0.606 0.250 0.147
0.894 0.750 0.647
```

Calculated values
ΔE to the lowest computed polymorph (eV/atom): 0.000
Uncorrected energy (eV/atom): -5.707
Calculated density (g/cm3): 6.886
E_form (eV/atom): -0.733
Density of states at the Fermi level (states/eV/cell): 7.73

=====

Question: What is the density of states at the Fermi level in the second record?
Answer: 7.73 states/eV/cell